1.
Compound: H3ClF
Source: Alexandria via LeMat-Bulk
Functional: meta-GGA SCAN
Structure: PBEsol geometry

a = 3.316 Å, b = 3.316 Å, c = 3.316 Å
α = 90.00°, β = 90.00°, γ = 90.00°
Element x y z (fractional)
1 H 0.000 0.000 0.500
2 H 0.000 0.500 0.000
3 H 0.500 0.000 0.000
4 Cl 0.500 0.500 0.500
5 F 0.000 0.000 0.000

=====

2.
Compound: AgTe2
Source: Alexandria via LeMat-Bulk
Functional: meta-GGA SCAN
Structure: PBEsol geometry

a = 6.863 Å, b = 6.863 Å, c = 6.863 Å
α = 90.00°, β = 90.00°, γ = 90.00°
Element x y z (fractional)
1 Ag 0.000 0.000 0.000
2 Ag 0.000 0.500 0.500
3 Ag 0.500 0.000 0.500
4 Ag 0.500 0.500 0.000
5 Te 0.116 0.616 0.884
6 Te 0.116 0.884 0.384
7 Te 0.384 0.116 0.884
8 Te 0.384 0.384 0.384
9 Te 0.616 0.616 0.616
10 Te 0.616 0.884 0.116
11 Te 0.884 0.116 0.616
12 Te 0.884 0.384 0.116

=====

3.
Compound: TiCdS2
Source: Alexandria via LeMat-Bulk
Functional: meta-GGA SCAN
Structure: PBEsol geometry

a = 6.924 Å, b = 6.924 Å, c = 6.924 Å
α = 131.33°, β = 131.33°, γ = 71.29°
Element x y z (fractional)
1 Ti 0.000 0.000 0.000
2 Ti 0.750 0.250 0.500
3 Cd 0.250 0.750 0.500
4 Cd 0.500 0.500 0.000
5 S 0.099 0.625 0.974
6 S 0.375 0.349 0.474
7 S 0.651 0.125 0.026
8 S 0.875 0.901 0.526

=====

4.
Compound: Sr3LiN
Source: Alexandria via LeMat-Bulk
Functional: meta-GGA SCAN
Structure: PBEsol geometry

a = 5.305 Å, b = 5.305 Å, c = 5.305 Å
α = 90.00°, β = 90.00°, γ = 90.00°
Element x y z (fractional)
1 Sr 0.000 0.000 0.500
2 Sr 0.000 0.500 0.000
3 Sr 0.500 0.000 0.000
4 Li 0.500 0.500 0.500
5 N 0.000 0.000 0.000

=====

| no. | calculated volume (Å³ per cell) | calculated density (g cm⁻³) | uncorrected energy (eV/atom) |
| --- | --- | --- | --- |
| 1 | 36 | 2.6 | -3.7061 |
| 2 | 323 | 7.5 | -35.2932 |
| 3 | 183 | 4.1 | -17.3056 |
| 4 | 149 | 3.2 | -16.0402 |